# 1
DFT (GGA-PBE) results for an optimized crystal structure of HfB2Rh.

The value obtained for the distance to the lowest polymorph of the same formula is 122 meV per atom.

It has space group Fm-3m (No. 225), with a = 5.708 Å, b = 5.708 Å, c = 5.708 Å, α = 90.00°, β = 90.00° and γ = 90.00°. The inequivalent atoms are Hf at (0.000, 0.000, 0.000), B at (0.250, 0.250, 0.250) and Rh at (0.000, 0.000, 0.500).

***

# 2
DFT (GGA-PBE) results for an optimized crystal structure of RbPa2PN5.

As for the formation energy (no corrections): -0.9557 eV/atom.

It has space group I4/mcm (No. 140), with a = 6.761 Å, b = 6.761 Å, c = 10.748 Å, α = 90.00°, β = 90.00° and γ = 90.00°. The inequivalent atoms are Rb at (0.000, 0.000, 0.250), Pa at (0.194, 0.306, 0.000), P at (0.000, 0.500, 0.250), N at (0.000, 0.000, 0.000) and N at (0.128, 0.372, 0.357).

***

# 3
DFT (GGA-PBE) results for an optimized crystal structure of HoNb2V.

As for the calculated total energy: -7.9350 eV/atom.

It has space group R-3m (No. 166, hexagonal axes), with a = 3.0818 Å, b = 3.0818 Å, c = 29.5680 Å, α = 90.00°, β = 90.00° and γ = 120.00°. The inequivalent atoms are Ho at (0.0000, 0.0000, 0.0000), Nb at (0.0000, 0.0000, 0.1005) and V at (0.0000, 0.0000, 0.5000).